Record 1
# Tb2Pm3Dy6Er | Alexandria via LeMat-Bulk | PBE | optimized geometry
# Energy: -110.998 eV/cell
# E_form: 16 meV per atom
data_Tb2Pm3Dy6Er
_chemical_formula_sum 'Tb4 Pm6 Dy12 Er2'
_cell_length_a 6.184
_cell_length_b 10.706
_cell_length_c 11.813
_cell_angle_alpha 90.00
_cell_angle_beta 100.01
_cell_angle_gamma 90.00
_space_group_name_H-M_alt 'C 1 2/m 1'
_space_group_IT_number 12
loop_
_space_group_symop_operation_xyz
'x,y,z'
'-x,-y,-z'
'-x,y,-z'
'x,-y,z'
'x+1/2,y+1/2,z'
'-x+1/2,-y+1/2,-z'
'-x+1/2,y+1/2,-z'
'x+1/2,-y+1/2,z'
loop_
_atom_site_label
_atom_site_fract_x
_atom_site_fract_y
_atom_site_fract_z
Tb1 0.000 0.167 0.000
Pm1 0.000 0.000 0.500
Pm2 0.000 0.333 0.500
Dy1 0.249 0.333 0.247
Dy2 0.250 0.000 0.247
Er1 0.000 0.500 0.000

***

Record 2
# SrAl2Ga4 | Alexandria via LeMat-Bulk | PBE | optimized geometry
# Energy: -45.632 eV/cell
# E_form: -220 meV per atom
data_SrAl2Ga4
_chemical_formula_sum 'Sr2 Al4 Ga8'
_cell_length_a 4.277
_cell_length_b 4.363
_cell_length_c 15.967
_cell_angle_alpha 90.00
_cell_angle_beta 90.00
_cell_angle_gamma 90.00
_space_group_name_H-M_alt 'I m m m'
_space_group_IT_number 71
_space_group_name_Hall '-I 2 2'
loop_
_atom_site_label
_atom_site_fract_x
_atom_site_fract_y
_atom_site_fract_z
Sr1 0.000 0.000 0.000
Al1 0.000 0.500 0.174
Ga1 0.000 0.000 0.420
Ga2 0.000 0.500 0.331

***

Record 3
# Ti2SeN2 | Alexandria via LeMat-Bulk | PBE | optimized geometry
# E_form (uncorrected): -1.278 eV per atom
# Energy: -42.316 eV/cell
data_Ti2SeN2
_chemical_formula_sum 'Ti2 Se1 N2'
_cell_length_a 3.4265
_cell_length_b 3.4265
_cell_length_c 6.4243
_cell_angle_alpha 90.00
_cell_angle_beta 90.00
_cell_angle_gamma 120.00
_space_group_name_H-M_alt 'P -3 m 1'
_space_group_IT_number 164
_space_group_name_Hall '-P 3 2"'
loop_
_atom_site_label
_atom_site_fract_x
_atom_site_fract_y
_atom_site_fract_z
Ti1 0.3333 0.6667 0.1855
Se1 0.0000 0.0000 0.5000
N1 0.3333 0.6667 0.8670

***

Record 4
# Nd2ThGa | Alexandria via LeMat-Bulk | PBE | optimized geometry
# Energy relative to the lowest polymorph listed for this composition: 0.0544 eV/atom
# Energy: -20.729 eV/cell
# E_form: -187 meV per atom
data_Nd2ThGa
_chemical_formula_sum 'Nd2 Th1 Ga1'
_cell_length_a 4.850
_cell_length_b 4.850
_cell_length_c 4.856
_cell_angle_alpha 90.00
_cell_angle_beta 90.00
_cell_angle_gamma 90.00
_space_group_name_H-M_alt 'P 4/m m m'
_space_group_IT_number 123
_space_group_name_Hall '-P 4 2'
loop_
_atom_site_label
_atom_site_fract_x
_atom_site_fract_y
_atom_site_fract_z
Nd1 0.000 0.500 0.000
Th1 0.000 0.000 0.500
Ga1 0.500 0.500 0.500

***

Record 5
# Ba3AgHg | Alexandria via LeMat-Bulk | PBE | optimized geometry
# Energy relative to the lowest polymorph listed for this composition: 0.0000 eV/atom
# Energy: -41.805 eV/cell
# E_form: -306 meV per atom
data_Ba3AgHg
_chemical_formula_sum 'Ba12 Ag4 Hg4'
_cell_length_a 5.958
_cell_length_b 23.440
_cell_length_c 5.949
_cell_angle_alpha 90.00
_cell_angle_beta 90.00
_cell_angle_gamma 90.00
_space_group_name_H-M_alt 'C m c m'
_space_group_IT_number 63
_space_group_name_Hall '-C 2c 2'
loop_
_atom_site_label
_atom_site_fract_x
_atom_site_fract_y
_atom_site_fract_z
Ba1 0.000 0.076 0.250
Ba2 0.000 0.250 0.250
Ba3 0.000 0.423 0.250
Ag1 0.000 0.341 0.750
Hg1 0.000 0.157 0.750

***

Record 6
# Zr2CrOs | Alexandria via LeMat-Bulk | PBE | optimized geometry
# Energy: -74.530 eV/cell
# E_form: 171 meV per atom
data_Zr2CrOs
_chemical_formula_sum 'Zr4 Cr2 Os2'
_cell_length_a 3.326
_cell_length_b 4.833
_cell_length_c 8.616
_cell_angle_alpha 90.00
_cell_angle_beta 90.00
_cell_angle_gamma 90.00
_space_group_name_H-M_alt 'C m m m'
_space_group_IT_number 65
_space_group_name_Hall '-C 2 2'
loop_
_atom_site_label
_atom_site_fract_x
_atom_site_fract_y
_atom_site_fract_z
Zr1 0.000 0.000 0.245
Cr1 0.000 0.500 0.000
Os1 0.000 0.500 0.500

***

Question: What is the energy in the fifth record?
Answer: -41.805 eV/cell

***

Question: Number 2 is which compound?
Answer: SrAl2Ga4